DFT (PBE-GGA) results for an optimized crystal structure of Th2PaS3.

Cell and atoms, written as POSCAR:
```
Th2PaS3
1.0
3.454 -6.055 0.000
3.454 6.055 0.000
-2.360 0.000 6.470
Th Pa S
4 2 6
direct
0.000 0.000 0.000 Th
0.164 0.836 0.500 Th
0.500 0.500 0.500 Th
0.836 0.164 0.500 Th
0.332 0.668 0.000 Pa
0.668 0.332 0.000 Pa
0.082 0.421 0.244 S
0.260 0.260 0.760 S
0.421 0.082 0.244 S
0.579 0.918 0.756 S
0.740 0.740 0.240 S
0.918 0.579 0.756 S
```

Calculated values
For the raw total energy, the calculation gives -7.87 eV per atom. For the magnetic moment, the calculation gives 0.00 μB per formula unit. As for the space group: C2/m. As for the density of states at the Fermi level: 0.9806 states/eV/atom. The uncorrected formation energy comes out at -40.40 kcal/mol of atoms. For the calculated volume, the calculation gives 135 Å³/f.u.

DFT (PBE-GGA) results for an optimized crystal structure of TcAsPbBr2.

Cell and atoms, written as POSCAR:
```
TcAsPbBr2
1.0
5.655 0.000 0.000
0.000 5.655 0.000
0.000 0.000 5.700
Tc As Pb Br
1 1 1 2
direct
0.000 0.000 0.000 Tc
0.500 0.500 0.000 As
0.500 0.500 0.500 Pb
0.000 0.500 0.500 Br
0.500 0.000 0.500 Br
```

Calculated values
The energy above the most stable polymorph in this dataset is 0.7753 eV/atom. For the raw total energy, the calculation gives -3.42 eV per atom. For the magnetic moment, the calculation gives 4.42 μB per formula unit. As for the space group: P4/mmm. As for the density of states at the Fermi level: 0.7666 states/eV/atom. The uncorrected formation energy comes out at 22.90 kcal/mol of atoms. For the calculated volume, the calculation gives 182 Å³/f.u.

DFT (PBE-GGA) results for an optimized crystal structure of YVS2N.

Cell and atoms, written as POSCAR:
```
YVS2N
1.0
4.722 0.000 0.000
0.000 4.722 0.000
0.000 0.000 3.694
Y V S N
1 1 2 1
direct
0.000 0.000 0.000 Y
0.500 0.500 0.500 V
0.000 0.500 0.500 S
0.500 0.000 0.500 S
0.500 0.500 0.000 N
```

Calculated values
The energy above the most stable polymorph in this dataset is 0.0000 eV/atom. For the raw total energy, the calculation gives -7.41 eV per atom. For the magnetic moment, the calculation gives 0.02 μB per formula unit. As for the space group: P4/mmm. As for the density of states at the Fermi level: 0.3923 states/eV/atom. The uncorrected formation energy comes out at -22.64 kcal/mol of atoms. For the calculated volume, the calculation gives 82 Å³/f.u.

DFT (PBE-GGA) results for an optimized crystal structure of Tb3Zn2Ru3C.

Cell and atoms, written as POSCAR:
```
Tb3Zn2Ru3C
1.0
7.332 0.000 0.000
-3.666 6.350 0.000
0.000 0.000 3.359
Tb Zn Ru C
3 2 3 1
direct
0.000 0.637 0.000 Tb
0.363 0.363 0.000 Tb
0.637 0.000 0.000 Tb
0.333 0.667 0.500 Zn
0.667 0.333 0.500 Zn
0.000 0.221 0.500 Ru
0.221 0.000 0.500 Ru
0.779 0.779 0.500 Ru
0.000 0.000 0.000 C
```

Calculated values
The formation energy is -137 meV per atom. For the raw total energy, the calculation gives -6.08 eV per atom. For the magnetic moment, the calculation gives 0.00 μB per formula unit. As for the space group: P-62m. As for the density of states at the Fermi level: 0.7107 states/eV/atom. For the calculated volume, the calculation gives 156 Å³/f.u.

DFT (PBE-GGA) results for an optimized crystal structure of ZrTiInPd.

Cell and atoms, written as POSCAR:
```
ZrTiInPd
1.0
3.133 0.000 0.000
0.000 3.133 0.000
0.000 0.000 7.758
Zr Ti In Pd
1 1 1 1
direct
0.000 0.000 0.000 Zr
0.000 0.000 0.451 Ti
0.500 0.500 0.713 In
0.500 0.500 0.257 Pd
```

Calculated values
The formation energy is -380 meV per atom. For the raw total energy, the calculation gives -6.47 eV per atom. For the magnetic moment, the calculation gives 0.40 μB per formula unit. As for the space group: P4mm. As for the density of states at the Fermi level: 1.0418 states/eV/atom. For the calculated volume, the calculation gives 76 Å³/f.u.

DFT (PBE-GGA) results for an optimized crystal structure of Ac3AlTe2.

Cell and atoms, written as POSCAR:
```
Ac3AlTe2
1.0
0.000 6.726 14.113
4.802 0.000 14.113
4.802 6.726 0.000
Ac Al Te
12 4 8
direct
0.040 0.539 0.198 Ac
0.112 0.638 0.638 Ac
0.198 0.723 0.040 Ac
0.277 0.802 0.461 Ac
0.362 0.888 0.888 Ac
0.461 0.960 0.277 Ac
0.539 0.040 0.723 Ac
0.638 0.112 0.112 Ac
0.723 0.198 0.539 Ac
0.802 0.277 0.960 Ac
0.888 0.362 0.362 Ac
0.960 0.461 0.802 Ac
0.041 0.041 0.209 Al
0.209 0.209 0.041 Al
0.791 0.791 0.959 Al
0.959 0.959 0.791 Al
0.128 0.128 0.622 Te
0.294 0.294 0.456 Te
0.378 0.378 0.872 Te
0.456 0.456 0.294 Te
0.544 0.544 0.706 Te
0.622 0.622 0.128 Te
0.706 0.706 0.544 Te
0.872 0.872 0.378 Te
```

Calculated values
For the raw total energy, the calculation gives -4.77 eV per atom. For the magnetic moment, the calculation gives 0.00 μB per formula unit. As for the space group: Fddd. As for the density of states at the Fermi level: 0.7845 states/eV/atom. The uncorrected formation energy comes out at -24.12 kcal/mol of atoms. For the calculated volume, the calculation gives 228 Å³/f.u.

DFT (PBE-GGA) results for an optimized crystal structure of Pa3Fe2Si2.

Cell and atoms, written as POSCAR:
```
Pa3Fe2Si2
1.0
5.380 0.000 0.000
0.000 7.689 0.000
0.000 0.000 12.187
Pa Fe Si
12 8 8
direct
0.136 0.240 0.250 Pa
0.136 0.260 0.750 Pa
0.331 0.600 0.097 Pa
0.331 0.600 0.403 Pa
0.331 0.900 0.597 Pa
0.331 0.900 0.903 Pa
0.669 0.100 0.097 Pa
0.669 0.100 0.403 Pa
0.669 0.400 0.597 Pa
0.669 0.400 0.903 Pa
0.864 0.740 0.250 Pa
0.864 0.760 0.750 Pa
0.126 0.541 0.588 Fe
0.126 0.541 0.912 Fe
0.126 0.959 0.088 Fe
0.126 0.959 0.412 Fe
0.874 0.041 0.588 Fe
0.874 0.041 0.912 Fe
0.874 0.459 0.088 Fe
0.874 0.459 0.412 Fe
0.162 0.250 0.000 Si
0.162 0.250 0.500 Si
0.362 0.605 0.750 Si
0.362 0.895 0.250 Si
0.638 0.105 0.750 Si
0.638 0.395 0.250 Si
0.838 0.750 0.000 Si
0.838 0.750 0.500 Si
```

Calculated values
For the raw total energy, the calculation gives -8.57 eV per atom. For the magnetic moment, the calculation gives 0.00 μB per formula unit. As for the space group: Pbcm. As for the density of states at the Fermi level: 1.4227 states/eV/atom. The uncorrected formation energy comes out at -12.25 kcal/mol of atoms. For the calculated volume, the calculation gives 126 Å³/f.u.

DFT (PBE-GGA) results for an optimized crystal structure of SrTmZn2Pt2.

Cell and atoms, written as POSCAR:
```
SrTmZn2Pt2
1.0
4.448 0.000 0.000
-2.224 3.852 0.000
0.000 0.000 7.662
Sr Tm Zn Pt
1 1 2 2
direct
0.000 0.000 0.000 Sr
0.000 0.000 0.500 Tm
0.333 0.667 0.710 Zn
0.667 0.333 0.290 Zn
0.333 0.667 0.300 Pt
0.667 0.333 0.700 Pt
```

Calculated values
The formation energy is -833 meV per atom. For the raw total energy, the calculation gives -4.30 eV per atom. For the magnetic moment, the calculation gives 0.00 μB per formula unit. As for the space group: P-3m1. As for the density of states at the Fermi level: 0.9057 states/eV/atom. For the calculated volume, the calculation gives 131 Å³/f.u.

DFT (PBE-GGA) results for an optimized crystal structure of PmP2.

Cell and atoms, written as POSCAR:
```
PmP2
1.0
3.985 0.000 0.000
0.000 6.544 0.000
-2.721 0.000 9.727
Pm P
4 8
direct
0.081 0.185 0.358 Pm
0.081 0.315 0.858 Pm
0.919 0.685 0.142 Pm
0.919 0.815 0.642 Pm
0.299 0.621 0.454 P
0.299 0.879 0.954 P
0.464 0.160 0.663 P
0.464 0.340 0.163 P
0.536 0.660 0.837 P
0.536 0.840 0.337 P
0.701 0.121 0.046 P
0.701 0.379 0.546 P
```

Calculated values
The energy above the most stable polymorph in this dataset is 0.0000 eV/atom. The formation energy is -1044 meV per atom. For the raw total energy, the calculation gives -6.23 eV per atom. For the magnetic moment, the calculation gives 0.00 μB per formula unit. As for the space group: P2_1/c. As for the density of states at the Fermi level: 0.0537 states/eV/atom. For the calculated volume, the calculation gives 63 Å³/f.u.

DFT (PBE-GGA) results for an optimized crystal structure of CoNi2Br.

Cell and atoms, written as POSCAR:
```
CoNi2Br
1.0
7.473 0.000 0.000
0.000 3.137 0.000
-1.424 0.000 5.781
Co Ni Br
2 4 2
direct
0.000 0.000 0.000 Co
0.500 0.500 0.000 Co
0.027 0.500 0.693 Ni
0.268 0.000 0.852 Ni
0.527 0.000 0.693 Ni
0.768 0.500 0.852 Ni
0.113 0.500 0.331 Br
0.613 0.000 0.331 Br
```

Calculated values
The energy above the most stable polymorph in this dataset is 0.0668 eV/atom. For the raw total energy, the calculation gives -4.63 eV per atom. For the magnetic moment, the calculation gives 3.31 μB per formula unit. As for the space group: Cm. As for the density of states at the Fermi level: 1.1751 states/eV/atom. The uncorrected formation energy comes out at 10.47 kcal/mol of atoms. For the calculated volume, the calculation gives 68 Å³/f.u.

DFT (PBE-GGA) results for an optimized crystal structure of PaTcS4.

Cell and atoms, written as POSCAR:
```
PaTcS4
1.0
7.013 0.000 0.000
0.000 5.748 0.000
-2.930 0.000 6.256
Pa Tc S
2 2 8
direct
0.000 0.000 0.000 Pa
0.000 0.500 0.500 Pa
0.500 0.000 0.000 Tc
0.500 0.500 0.500 Tc
0.212 0.236 0.356 S
0.212 0.264 0.856 S
0.349 0.746 0.182 S
0.349 0.754 0.682 S
0.651 0.246 0.318 S
0.651 0.254 0.818 S
0.788 0.736 0.144 S
0.788 0.764 0.644 S
```

Calculated values
For the raw total energy, the calculation gives -7.01 eV per atom. For the magnetic moment, the calculation gives 0.00 μB per formula unit. As for the space group: P2_1/c. As for the density of states at the Fermi level: 0.3778 states/eV/atom. The uncorrected formation energy comes out at -21.75 kcal/mol of atoms. For the calculated volume, the calculation gives 126 Å³/f.u.